Here is an optimized crystal structure of NaDySnF6 from Alexandria. Energies are from PBE-GGA.

Cell lengths 5.327, 5.327, 11.066 Å; angles 90.00, 90.00, 90.00 degrees
Sites, in units of the cell vectors:
Na: 0.000 0.000 0.000
Na: 0.500 0.500 0.500
Dy: 0.000 0.000 0.666
Dy: 0.500 0.500 0.166
Sn: 0.000 0.000 0.330
Sn: 0.500 0.500 0.830
F: 0.186 0.186 0.820
F: 0.196 0.196 0.521
F: 0.205 0.205 0.171
F: 0.295 0.705 0.671
F: 0.304 0.696 0.021
F: 0.314 0.686 0.320
F: 0.686 0.314 0.320
F: 0.696 0.304 0.021
F: 0.705 0.295 0.671
F: 0.795 0.795 0.171
F: 0.804 0.804 0.521
F: 0.814 0.814 0.820

Summary:
formation energy (no corrections): -3186.1 meV per atom
Fermi-level density of states: 0.0 states/eV/cell
symmetry: No. 102